1.
# Tb2CeHoTe5, relaxed, DFT PBE
data_Tb2CeHoTe5
_cell_length_a 5.5218
_cell_length_b 5.5218
_cell_length_c 11.8620
_cell_angle_alpha 90.00
_cell_angle_beta 90.00
_cell_angle_gamma 90.00
_space_group_name_H-M_alt 'P 4/m m m'
_space_group_IT_number 123
_space_group_name_Hall '-P 4 2'
loop_
_atom_site_label
_atom_site_type_symbol
_atom_site_fract_x
_atom_site_fract_y
_atom_site_fract_z
_atom_site_occupancy
Tb1 Tb 0.0000 0.0000 0.1469 1
Ce1 Ce 0.5000 0.5000 0.5000 1
Ho1 Ho 0.5000 0.5000 0.0000 1
Te1 Te 0.0000 0.0000 0.5000 1
Te2 Te 0.0000 0.5000 0.0000 1
Te3 Te 0.5000 0.5000 0.2473 1
# Total magnetic moment ... 0.194 μB/atom
# N(E_F) ... 12.19 states/eV/cell
# Raw formation energy ... -0.705 eV/atom

2.
# MgReOs2, relaxed, DFT PBE
data_MgReOs2
_cell_length_a 6.1903
_cell_length_b 6.1903
_cell_length_c 6.1903
_cell_angle_alpha 90.00
_cell_angle_beta 90.00
_cell_angle_gamma 90.00
_space_group_name_H-M_alt 'F -4 3 m'
_space_group_IT_number 216
_space_group_name_Hall 'F -4 2 3'
loop_
_atom_site_label
_atom_site_type_symbol
_atom_site_fract_x
_atom_site_fract_y
_atom_site_fract_z
_atom_site_occupancy
Mg1 Mg 0.0000 0.0000 0.0000 1
Re1 Re 0.2500 0.2500 0.2500 1
Os1 Os 0.0000 0.0000 0.5000 1
Os2 Os 0.2500 0.2500 0.7500 1
# Total magnetic moment ... 0.000 μB/atom
# N(E_F) ... 18.84 states/eV/cell
# Calculated formation energy ... 1.7 eV per formula unit

3.
# Cs2BS3, relaxed, DFT PBE
data_Cs2BS3
_cell_length_a 13.9480
_cell_length_b 9.3810
_cell_length_c 5.8821
_cell_angle_alpha 90.00
_cell_angle_beta 90.00
_cell_angle_gamma 90.00
_space_group_name_H-M_alt 'C m c m'
_space_group_IT_number 63
_space_group_name_Hall '-C 2c 2'
loop_
_atom_site_label
_atom_site_type_symbol
_atom_site_fract_x
_atom_site_fract_y
_atom_site_fract_z
_atom_site_occupancy
Cs1 Cs 0.1417 0.1889 0.2500 1
B1 B 0.0000 0.3423 0.7500 1
S1 S 0.0000 0.1478 0.7500 1
S2 S 0.1124 0.4416 0.7500 1
# Total magnetic moment ... 0.000 μB/atom
# N(E_F) ... 5.79 states/eV/cell
# Energy above the lowest structure with this stoichiometry ... 74 meV/atom
# Raw formation energy ... -0.753 eV/atom

4.
# Cs3CaAu, relaxed, DFT PBE
data_Cs3CaAu
_cell_length_a 8.1453
_cell_length_b 8.1453
_cell_length_c 8.1453
_cell_angle_alpha 90.00
_cell_angle_beta 90.00
_cell_angle_gamma 90.00
_space_group_name_H-M_alt 'P m -3 m'
_space_group_IT_number 221
_space_group_name_Hall '-P 4 2 3'
loop_
_atom_site_label
_atom_site_type_symbol
_atom_site_fract_x
_atom_site_fract_y
_atom_site_fract_z
_atom_site_occupancy
Cs1 Cs 0.0000 0.0000 0.5000 1
Ca1 Ca 0.0000 0.0000 0.0000 1
Au1 Au 0.5000 0.5000 0.5000 1
# Total magnetic moment ... 0.278 μB/atom
# N(E_F) ... 7.09 states/eV/cell
# Calculated formation energy ... 2.5 eV per formula unit

5.
# LiYAgIr, relaxed, DFT PBE
data_LiYAgIr
_cell_length_a 6.6938
_cell_length_b 6.6938
_cell_length_c 6.6938
_cell_angle_alpha 90.00
_cell_angle_beta 90.00
_cell_angle_gamma 90.00
_space_group_name_H-M_alt 'F -4 3 m'
_space_group_IT_number 216
_space_group_name_Hall 'F -4 2 3'
loop_
_atom_site_label
_atom_site_type_symbol
_atom_site_fract_x
_atom_site_fract_y
_atom_site_fract_z
_atom_site_occupancy
Li1 Li 0.0000 0.0000 0.0000 1
Y1 Y 0.0000 0.0000 0.5000 1
Ag1 Ag 0.2500 0.2500 0.2500 1
Ir1 Ir 0.2500 0.2500 0.7500 1
# Total magnetic moment ... 0.000 μB/atom
# N(E_F) ... 4.08 states/eV/cell
# Calculated formation energy ... -1.2 eV per formula unit

6.
# Nd6Sb5P, relaxed, DFT PBE
data_Nd6Sb5P
_cell_length_a 7.7451
_cell_length_b 13.3949
_cell_length_c 7.7337
_cell_angle_alpha 90.00
_cell_angle_beta 109.51
_cell_angle_gamma 90.00
_space_group_name_H-M_alt 'C 1 2/m 1'
_space_group_IT_number 12
loop_
_space_group_symop_operation_xyz
'x,y,z'
'-x,-y,-z'
'-x,y,-z'
'x,-y,z'
'x+1/2,y+1/2,z'
'-x+1/2,-y+1/2,-z'
'-x+1/2,y+1/2,-z'
'x+1/2,-y+1/2,z'
loop_
_atom_site_label
_atom_site_type_symbol
_atom_site_fract_x
_atom_site_fract_y
_atom_site_fract_z
_atom_site_occupancy
Nd1 Nd 0.2374 0.0000 0.2552 1
Nd2 Nd 0.2394 0.1596 0.7405 1
Sb1 Sb 0.0000 0.1717 0.0000 1
Sb2 Sb 0.0000 0.3342 0.5000 1
Sb3 Sb 0.0000 0.5000 0.0000 1
P1 P 0.0000 0.0000 0.5000 1
# Total magnetic moment ... 0.000 μB/atom
# N(E_F) ... 3.81 states/eV/cell
# Raw formation energy ... -1.223 eV/atom